(1)
# RbRh2Pb PBE-GGA optimized geometry
# Density   8.0 g/cm³
data_RbRh2Pb
_chemical_formula_sum 'Rb4 Rh8 Pb4'
_space_group_name_H-M_alt 'I -4 2 d'
_space_group_IT_number 122
_space_group_name_Hall 'I -4 2bw'
_cell_length_a 7.8974
_cell_length_b 7.8974
_cell_length_c 6.5979
_cell_angle_alpha 90.00
_cell_angle_beta 90.00
_cell_angle_gamma 90.00
loop_
_atom_site_label
_atom_site_fract_x
_atom_site_fract_y
_atom_site_fract_z
_atom_site_occupancy
Rb1 0.0000 0.0000 0.0000 1
Rh1 0.1932 0.2500 0.6250 1
Pb1 0.0000 0.0000 0.5000 1

***

(2)
# RbRhPb4 PBE-GGA optimized geometry
# Energy above the most stable polymorph in this dataset   0 meV/atom
# Density   8.4 g/cm³
data_RbRhPb4
_chemical_formula_sum 'Rb4 Rh4 Pb16'
_space_group_name_H-M_alt 'I 4/m c m'
_space_group_IT_number 140
_space_group_name_Hall '-I 4 2c'
_cell_length_a 6.8746
_cell_length_b 6.8746
_cell_length_c 17.0200
_cell_angle_alpha 90.00
_cell_angle_beta 90.00
_cell_angle_gamma 90.00
loop_
_atom_site_label
_atom_site_fract_x
_atom_site_fract_y
_atom_site_fract_z
_atom_site_occupancy
Rb1 0.0000 0.0000 0.0000 1
Rh1 0.0000 0.0000 0.2500 1
Pb1 0.1683 0.3317 0.1697 1

***

Here are the calculated energy of formation from the pure elements numbers, same order: 2.82 -0.88 (eV per formula unit).